DFT (GGA-PBE) results for an optimized crystal structure of CsHgPbI3.

Unit cell a=6.5389 b=6.5389 c=13.3700 alpha=97.89 beta=97.89 gamma=84.05
Closest atoms and distances in Å follow each position.
Fractional positions:
Cs (0.1778, 0.1778, 0.3060)  5 I 3.94-4.27, 4 Hg 4.08-4.27
Cs (0.8222, 0.8222, 0.6940)  5 I 3.94-4.27, 4 Hg 4.08-4.27
Hg (0.2991, 0.7009, 0.5000)  1 Hg 3.52, 4 I 3.87-3.89
Hg (0.7009, 0.2991, 0.5000)  1 Hg 3.52, 4 I 3.87-3.89
Pb (0.3083, 0.3083, 0.8868)  3 I 3.08-3.15
Pb (0.6917, 0.6917, 0.1132)  3 I 3.08-3.15
I (0.1792, 0.6399, 0.1329)  2 Pb 3.15-3.45
I (0.2473, 0.2473, 0.6528)  1 Pb 3.08
I (0.3601, 0.8208, 0.8671)  2 Pb 3.15-3.45
I (0.6399, 0.1792, 0.1329)  2 Pb 3.15-3.45
I (0.7527, 0.7527, 0.3472)  1 Pb 3.08
I (0.8208, 0.3601, 0.8671)  2 Pb 3.15-3.45

Calculated values
**Volume**: 46.6 A^3/atom
**E**: -14.2 eV/f.u.
**Total magnetic moment**: 0.0 Bohr magnetons per cell

***

DFT (GGA-PBE) results for an optimized crystal structure of Cs2HgPbI6.

Unit cell a=8.8520 b=8.8537 c=9.7024 alpha=62.89 beta=62.95 gamma=60.01
Closest atoms and distances in Å follow each position.
Fractional positions:
Cs (0.0000, 0.0000, 0.0000)  6 I 3.90-4.00
Cs (0.4828, 0.4831, 0.5499)  6 I 3.87-4.08
Hg (0.2730, 0.2731, 0.1811)  3 I 2.77
Pb (0.7222, 0.7225, 0.8327)  3 I 3.03
I (0.0218, 0.4494, 0.6524)  1 Pb 3.03
I (0.3802, 0.9296, 0.1614)  1 Hg 2.77
I (0.4488, 0.8759, 0.6523)  1 Pb 3.03
I (0.5292, 0.3796, 0.1619)  1 Hg 2.77
I (0.8758, 0.0223, 0.6522)  1 Pb 3.03
I (0.9293, 0.5290, 0.1620)  1 Hg 2.77

Calculated values
**Volume**: 56.0 A^3/atom
**Polymorph energy (0 for the lowest one)**: 0 meV/atom
**Total magnetic moment**: 0.0 Bohr magnetons per cell

***

DFT (GGA-PBE) results for an optimized crystal structure of Cs2HgPbI6.

Unit cell a=8.8014 b=8.8014 c=8.8014 alpha=60.00 beta=60.00 gamma=60.00
Closest atoms and distances in Å follow each position.
Fractional positions:
Cs (0.2500, 0.2500, 0.2500)  12 I 4.40
Cs (0.7500, 0.7500, 0.7500)  12 I 4.40
Hg (0.0000, 0.0000, 0.0000)  6 I 3.04
Pb (0.5000, 0.5000, 0.5000)  6 I 3.18
I (0.2443, 0.2443, 0.7557)  1 Hg 3.04, 1 Pb 3.18
I (0.2443, 0.7557, 0.2443)  1 Hg 3.04, 1 Pb 3.18
I (0.2443, 0.7557, 0.7557)  1 Hg 3.04, 1 Pb 3.18
I (0.7557, 0.2443, 0.2443)  1 Hg 3.04, 1 Pb 3.18
I (0.7557, 0.2443, 0.7557)  1 Hg 3.04, 1 Pb 3.18
I (0.7557, 0.7557, 0.2443)  1 Hg 3.04, 1 Pb 3.18

Calculated values
**Volume**: 48.2 A^3/atom
**Polymorph energy (0 for the lowest one)**: 17 meV/atom
**Total magnetic moment**: 0.0 Bohr magnetons per cell

***

DFT (GGA-PBE) results for an optimized crystal structure of Cs2HgPb3I8.

Unit cell a=11.1400 b=11.1400 c=11.1400 alpha=51.22 beta=51.22 gamma=51.22
Closest atoms and distances in Å follow each position.
Fractional positions:
Cs (0.0000, 0.0000, 0.0000)  6 I 3.94-3.96
Cs (0.3617, 0.3617, 0.3617)  4 I 3.70-3.80
Hg (0.6443, 0.6443, 0.6443)  4 I 3.72-3.73
Pb (0.5108, 0.9982, 0.9982)  6 I 3.22-3.36
Pb (0.9982, 0.5108, 0.9982)  6 I 3.22-3.36
Pb (0.9982, 0.9982, 0.5108)  6 I 3.22-3.36
I (0.2139, 0.7400, 0.7400)  2 Pb 3.22
I (0.2303, 0.2303, 0.2303)  3 Pb 3.36
I (0.2570, 0.2570, 0.7963)  2 Pb 3.32, 1 Cs 3.70
I (0.2570, 0.7963, 0.2570)  2 Pb 3.32, 1 Cs 3.70
I (0.7400, 0.2139, 0.7400)  2 Pb 3.22
I (0.7400, 0.7400, 0.2139)  2 Pb 3.22
I (0.7726, 0.7726, 0.7726)  3 Pb 3.27
I (0.7963, 0.2570, 0.2570)  2 Pb 3.32, 1 Cs 3.70

Calculated values
**Volume**: 55.4 A^3/atom
**E**: -37.2 eV/f.u.
**Total magnetic moment**: 0.0 Bohr magnetons per cell